# Ba3Sb3Pd2, optimized geometry, DFT PBE
# - Raw formation energy: -0.873 eV/atom
# - Energy above the lowest structure with this stoichiometry: 40.9 meV per atom
# - Total DFT energy (no corrections): -4.438 eV/atom
data_Ba3Sb3Pd2
_chemical_formula_sum 'Ba6 Sb6 Pd4'
_cell_length_a 4.774
_cell_length_b 6.767
_cell_length_c 16.695
_cell_angle_alpha 90.00
_cell_angle_beta 90.00
_cell_angle_gamma 110.65
_space_group_name_H-M_alt 'P 1'
_space_group_IT_number 1
loop_
_space_group_symop_operation_xyz
'x,y,z'
loop_
_atom_site_label
_atom_site_fract_x
_atom_site_fract_y
_atom_site_fract_z
Sb1 0.336 0.672 0.250
Sb2 0.652 0.304 0.460
Ba1 0.925 0.851 0.105
Ba2 0.641 0.283 0.250
Ba3 0.075 0.149 0.605
Sb3 0.652 0.304 0.040
Ba4 0.075 0.149 0.895
Pd1 0.223 0.446 0.098
Sb4 0.664 0.328 0.750
Ba5 0.359 0.717 0.750
Pd2 0.223 0.446 0.402
Pd3 0.777 0.554 0.598
Ba6 0.925 0.851 0.395
Sb5 0.348 0.696 0.540
Pd4 0.777 0.554 0.902
Sb6 0.348 0.696 0.960